Density functional theory data (meta-GGA SCAN) for LaCdSbTe2 at its PBEsol-relaxed geometry.

a = 5.3404 Å, b = 5.4997 Å, c = 5.4997 Å
α = 90.00°, β = 90.00°, γ = 90.00°
Closest atoms and distances in Å follow each position.
Atoms (fractional coordinates):
Sb (0.5000, 0.0000, 0.0000)  2 Cd 2.67
Te (0.0000, 0.0000, 0.5000)  2 Cd 2.75
Te (0.0000, 0.5000, 0.0000)  2 Cd 2.75
Cd (0.0000, 0.0000, 0.0000)  2 Sb 2.67, 4 Te 2.75
La (0.5000, 0.5000, 0.5000)  8 Te 3.83, 4 Sb 3.89

Values from the calculation:
* symmetry: No. 123
* crystal system: tetragonal
* D(E_F): 3.77 states/eV per cell
* formation energy (no corrections): -1.221 eV/f.u.
* ρ: 6.5 g cm⁻³
* total energy: -37.3007 eV per atom